w.
Entry from the Alexandria database: ScMoPb2 after structural relaxation (GGA-PBE).

Calculated values
Total magnetic moment, μB/cell: 0.86
Crystal system: tetragonal
Volume, Å³/atom: 21.80

Lattice parameters (Å, degrees): 5.160 5.160 5.160 125.83 125.83 80.17
Fractional coordinates of all 4 atoms:
Mo 0.750 0.250 0.500
Pb 0.000 0.000 0.000
Pb 0.500 0.500 0.000
Sc 0.250 0.750 0.500

---

x.
Entry from the Alexandria database: ScMoPb2 after structural relaxation (GGA-PBE).

Calculated values
Total magnetic moment, μB/cell: 2.18
Crystal system: cubic
Volume, Å³/atom: 23.66

Lattice parameters (Å, degrees): 5.115 5.115 5.115 60.00 60.00 60.00
Fractional coordinates of all 4 atoms:
Mo 0.500 0.500 0.500
Pb 0.000 0.000 0.000
Pb 0.250 0.250 0.250
Sc 0.750 0.750 0.750

---

Sorted by energy, starting with the most stable: w, x.

---

w.
Entry from the Alexandria database: ScMoPb2 after structural relaxation (GGA-PBE).

Calculated values
Total magnetic moment, μB/cell: 0.00
Crystal system: orthorhombic
Volume, Å³/atom: 25.04

Lattice parameters (Å, degrees): 3.117 3.117 10.771 90.00 90.00 106.86
Fractional coordinates of all 4 atoms:
Mo 0.500 0.500 0.730
Pb 0.000 0.000 0.945
Pb 0.500 0.500 0.286
Sc 0.000 0.000 0.539

---

x.
Entry from the Alexandria database: ScMoPb2 after structural relaxation (GGA-PBE).

Calculated values
Total magnetic moment, μB/cell: 0.00
Crystal system: tetragonal
Volume, Å³/atom: 25.17

Lattice parameters (Å, degrees): 3.068 3.068 10.695 90.00 90.00 90.00
Fractional coordinates of all 4 atoms:
Mo 0.500 0.500 0.729
Pb 0.000 0.000 0.945
Pb 0.500 0.500 0.290
Sc 0.000 0.000 0.536

---

y.
Entry from the Alexandria database: ScMoPb2 after structural relaxation (GGA-PBE).

Calculated values
Total magnetic moment, μB/cell: 1.00
Crystal system: orthorhombic
Volume, Å³/atom: 22.99

Lattice parameters (Å, degrees): 3.282 3.282 9.295 90.00 90.00 113.27
Fractional coordinates of all 4 atoms:
Mo 0.500 0.500 0.750
Pb 0.000 0.000 0.987
Pb 0.000 0.000 0.513
Sc 0.500 0.500 0.250

---

Sorted by energy, starting with the most stable: w, x, y.

---

w.
Entry from the Alexandria database: ScMo3Pb after structural relaxation (GGA-PBE).

Calculated values
Total magnetic moment, μB/cell: 0.00
Crystal system: cubic
Volume, Å³/atom: 20.96

Lattice parameters (Å, degrees): 4.715 4.715 4.715 90.00 90.00 90.00
Fractional coordinates of all 5 atoms:
Pb 0.500 0.500 0.500
Sc 0.000 0.000 0.000
Mo 0.000 0.500 0.000
Mo 0.000 0.000 0.500
Mo 0.500 0.000 0.000

---

x.
Entry from the Alexandria database: ScMo3Pb after structural relaxation (GGA-PBE).

Calculated values
Total magnetic moment, μB/cell: 0.00
Crystal system: cubic
Volume, Å³/atom: 25.08

Lattice parameters (Å, degrees): 5.005 5.005 5.005 90.00 90.00 90.00
Fractional coordinates of all 5 atoms:
Pb 0.000 0.000 0.000
Sc 0.500 0.500 0.500
Mo 0.000 0.500 0.000
Mo 0.000 0.000 0.500
Mo 0.500 0.000 0.000

---

Sorted by energy, starting with the most stable: w, x.

---

w.
Entry from the Alexandria database: MoPb3Se after structural relaxation (GGA-PBE).

Calculated values
Total magnetic moment, μB/cell: 1.93
Crystal system: cubic
Volume, Å³/atom: 31.52

Lattice parameters (Å, degrees): 5.402 5.402 5.402 90.00 90.00 90.00
Fractional coordinates of all 5 atoms:
Pb 0.000 0.500 0.000
Pb 0.000 0.000 0.500
Pb 0.500 0.000 0.000
Mo 0.000 0.000 0.000
Se 0.500 0.500 0.500

---

x.
Entry from the Alexandria database: MoPb3Se after structural relaxation (GGA-PBE).

Calculated values
Total magnetic moment, μB/cell: 4.46
Crystal system: cubic
Volume, Å³/atom: 35.97

Lattice parameters (Å, degrees): 5.644 5.644 5.644 90.00 90.00 90.00
Fractional coordinates of all 5 atoms:
Pb 0.000 0.500 0.000
Pb 0.000 0.000 0.500
Pb 0.500 0.000 0.000
Mo 0.500 0.500 0.500
Se 0.000 0.000 0.000

---

Sorted by energy, starting with the most stable: w, x.

---

w.
Entry from the Alexandria database: SnMoPb2Se after structural relaxation (GGA-PBE).

Calculated values
Total magnetic moment, μB/cell: 2.33
Crystal system: tetragonal
Volume, Å³/atom: 31.58

Lattice parameters (Å, degrees): 5.783 4.721 5.783 90.00 90.00 90.00
Fractional coordinates of all 5 atoms:
Pb 0.000 0.000 0.500
Pb 0.500 0.000 0.000
Mo 0.000 0.500 0.000
Sn 0.500 0.500 0.500
Se 0.000 0.000 0.000

---

x.
Entry from the Alexandria database: SnMoPb2Se after structural relaxation (GGA-PBE).

Calculated values
Total magnetic moment, μB/cell: 4.51
Crystal system: tetragonal
Volume, Å³/atom: 38.38

Lattice parameters (Å, degrees): 5.870 5.568 5.870 90.00 90.00 90.00
Fractional coordinates of all 5 atoms:
Pb 0.000 0.000 0.500
Pb 0.500 0.000 0.000
Mo 0.500 0.500 0.500
Sn 0.000 0.500 0.000
Se 0.000 0.000 0.000

---

Sorted by energy, starting with the most stable: w, x.

---

w.
Entry from the Alexandria database: SrSnMo2Pb after structural relaxation (GGA-PBE).

Calculated values
Total magnetic moment, μB/cell: 4.71
Crystal system: tetragonal
Volume, Å³/atom: 30.94

Lattice parameters (Å, degrees): 5.176 5.776 5.176 90.00 90.00 90.00
Fractional coordinates of all 5 atoms:
Pb 0.500 0.500 0.500
Sr 0.000 0.000 0.000
Mo 0.000 0.000 0.500
Mo 0.500 0.000 0.000
Sn 0.000 0.500 0.000

---

x.
Entry from the Alexandria database: SrSnMo2Pb after structural relaxation (GGA-PBE).

Calculated values
Total magnetic moment, μB/cell: 6.70
Crystal system: tetragonal
Volume, Å³/atom: 49.46

Lattice parameters (Å, degrees): 6.025 6.025 6.812 90.00 90.00 90.00
Fractional coordinates of all 5 atoms:
Pb 0.500 0.500 0.500
Sr 0.000 0.000 0.500
Mo 0.000 0.500 0.000
Mo 0.500 0.000 0.000
Sn 0.000 0.000 0.000

---

Sorted by energy, starting with the most stable: x, w.

---

w.
Entry from the Alexandria database: SrMoPb after structural relaxation (GGA-PBE).

Calculated values
Total magnetic moment, μB/cell: 2.95
Crystal system: hexagonal
Volume, Å³/atom: 28.55

Lattice parameters (Å, degrees): 5.046 5.046 3.884 90.00 90.00 120.00
Fractional coordinates of all 3 atoms:
Mo 0.000 0.000 0.167
Pb 0.667 0.333 0.167
Sr 0.333 0.667 0.667

---

x.
Entry from the Alexandria database: SrMoPb after structural relaxation (GGA-PBE).

Calculated values
Total magnetic moment, μB/cell: 0.00
Crystal system: orthorhombic
Volume, Å³/atom: 25.73

Lattice parameters (Å, degrees): 7.720 7.581 3.286 79.96 75.25 24.78
Fractional coordinates of all 3 atoms:
Mo 0.989 0.989 0.011
Pb 0.354 0.354 0.646
Sr 0.658 0.658 0.342

---

Sorted by energy, starting with the most stable: w, x.

---

w.
Entry from the Alexandria database: SrMoPb after structural relaxation (GGA-PBE).

Calculated values
Total magnetic moment, μB/cell: 0.00
Crystal system: trigonal
Volume, Å³/atom: 26.66

Lattice parameters (Å, degrees): 3.535 3.535 7.392 90.00 90.00 120.00
Fractional coordinates of all 3 atoms:
Mo 0.000 0.000 0.020
Pb 0.667 0.333 0.291
Sr 0.333 0.667 0.689

---

x.
Entry from the Alexandria database: SrMoPb after structural relaxation (GGA-PBE).

Calculated values
Total magnetic moment, μB/cell: 0.20
Crystal system: tetragonal
Volume, Å³/atom: 25.61

Lattice parameters (Å, degrees): 7.567 7.567 7.567 155.08 155.08 35.53
Fractional coordinates of all 3 atoms:
Mo 0.012 0.012 0.000
Pb 0.647 0.647 0.000
Sr 0.341 0.341 0.000

---

y.
Entry from the Alexandria database: SrMoPb after structural relaxation (GGA-PBE).

Calculated values
Total magnetic moment, μB/cell: 3.95
Crystal system: cubic
Volume, Å³/atom: 32.16

Lattice parameters (Å, degrees): 5.148 5.148 5.148 60.00 60.00 60.00
Fractional coordinates of all 3 atoms:
Mo 0.750 0.750 0.750
Pb 0.000 0.000 0.000
Sr 0.500 0.500 0.500

---

z.
Entry from the Alexandria database: SrMoPb after structural relaxation (GGA-PBE).

Calculated values
Total magnetic moment, μB/cell: 4.00
Crystal system: cubic
Volume, Å³/atom: 34.87

Lattice parameters (Å, degrees): 5.289 5.289 5.289 60.00 60.00 60.00
Fractional coordinates of all 3 atoms:
Mo 0.000 0.000 0.000
Pb 0.500 0.500 0.500
Sr 0.750 0.750 0.750

---

Sorted by energy, starting with the most stable: x, w, y, z.